[1]
PBE-GGA AlPRh, relaxed; N(E_F) = 1.54 states/eV/f.u.; space group = P3m1 (156)
1.0
3.037 0.000 0.000
-1.518 2.630 0.000
0.000 0.000 5.548
P Rh Al
1 1 1
Cartesian
1.518 0.877 1.976 P
0.000 1.753 3.592 Rh
0.000 0.000 5.529 Al

[2]
PBE-GGA Al2PRh, relaxed; N(E_F) = 2.28 states/eV/f.u.; space group = R3m (160)
1.0
-1.400 7.007 3.140
-4.101 6.370 1.879
-3.410 5.271 4.637
P Rh Al
1 1 2
Cartesian
-4.408 9.224 4.776 P
-6.744 14.113 7.308 Rh
-0.045 0.094 0.049 Al
-2.170 4.541 2.352 Al

[3]
PBE-GGA Al2PRh, relaxed; N(E_F) = 2.73 states/eV/f.u.; space group = R-3m (166)
1.0
7.726 -0.018 -0.011
7.145 2.941 -0.011
7.145 1.404 2.584
P Rh Al
1 1 2
Cartesian
5.504 1.082 0.641 P
16.511 3.245 1.922 Rh
0.017 0.003 0.002 Al
10.990 2.160 1.279 Al

[4]
PBE-GGA AlPRh, relaxed; N(E_F) = 1.43 states/eV/f.u.; space group = F-43m (216)
1.0
4.056 0.000 0.000
2.028 3.512 0.000
2.028 1.171 3.311
P Rh Al
1 1 1
Cartesian
4.056 2.341 1.656 P
6.083 3.512 2.484 Rh
0.000 0.000 0.000 Al

[5]
PBE-GGA Al2PRh, relaxed; N(E_F) = 1.55 states/eV/f.u.; space group = C2/m (12)
1.0
-0.948 -3.697 4.790
4.135 1.698 -0.940
0.116 1.142 2.597
P Rh Al
1 1 2
Cartesian
2.125 1.420 0.828 P
1.593 -0.999 1.925 Rh
0.000 0.000 0.000 Al
-0.416 -1.278 3.693 Al

[6]
PBE-GGA AlPRh4, relaxed; N(E_F) = 5.25 states/eV/f.u.; space group = F-43m (216)
1.0
-4.946 -0.776 0.989
-3.207 3.962 0.236
-3.475 0.692 -3.672
Al P Rh
1 1 4
Cartesian
-8.721 2.909 -1.835 Al
0.000 0.000 0.000 P
-6.836 1.065 -0.421 Rh
-6.099 1.800 -2.757 Rh
-5.964 3.439 -0.798 Rh
-4.357 1.453 -0.917 Rh

[7]
PBE-GGA Al3PRh, relaxed; N(E_F) = 4.01 states/eV/f.u.; space group = Pm-3m (221)
1.0
4.526 0.000 0.000
0.000 4.526 0.000
0.000 0.000 4.526
P Rh Al
1 1 3
Cartesian
0.000 0.000 0.000 P
2.263 2.263 2.263 Rh
0.000 2.263 0.000 Al
0.000 0.000 2.263 Al
2.263 0.000 0.000 Al

[8]
PBE-GGA Al2PRh, relaxed; N(E_F) = 0.92 states/eV/f.u.; space group = P4mm (99)
1.0
-1.253 1.775 2.594
1.136 -2.347 2.154
4.523 2.576 0.422
P Rh Al
1 1 2
Cartesian
2.074 1.182 0.193 P
3.552 1.771 2.711 Rh
4.359 2.483 0.406 Al
1.204 0.433 2.492 Al

| no. | calculated formation energy (meV/atom) |
| --- | --- |
| 1 | -448 |
| 2 | -320 |
| 3 | -371 |
| 4 | -563 |
| 5 | -393 |
| 6 | 251 |
| 7 | 541 |
| 8 | -395 |